A plane-wave DFT calculation with PBE-GGA was carried out for CsCdHg4 after structural relaxation.

Properties
Its uncorrected energy is -3.58 eV per cell. For the energy relative to the elements, the calculation gives -100 meV per atom. The calculation puts the excess energy over the best structure of this formula in the dataset at 41 meV per atom. The calculation puts the theoretical density at 8.70 g/cm3. As for the total moment: 0.00 μB per formula unit.

abc: 6.564 6.564 6.564
angles: 60.00 60.00 60.00
Atoms (fractional coordinates):
Cd (0.000, 0.000, 0.000)
Hg (0.626, 0.626, 0.122)
Hg (0.122, 0.626, 0.626)
Hg (0.626, 0.122, 0.626)
Hg (0.626, 0.626, 0.626)
Cs (0.250, 0.250, 0.250)